Below is a geometry-optimized YScAgIr structure, with properties calculated at the PBE level.

The structure in extended XYZ format:
```
4
Lattice="0.0000 3.4286 3.4286 3.4286 0.0000 3.4286 3.4286 3.4286 0.0000" Properties=species:S:1:pos:R:3 pbc="T T T"
Y 0.0000 0.0000 0.0000
Sc 3.4286 3.4286 3.4286
Ag 1.7143 1.7143 1.7143
Ir 5.1429 5.1429 5.1429
```

total energy	-26.9	eV per cell
energy of formation	-588	meV per atom
crystal system	cubic
total magnetization	0.000	μB per atom

---

Below is a geometry-optimized CsRbAg2F8 structure, with properties calculated at the PBE level.

The structure in extended XYZ format:
```
12
Lattice="-3.2241 3.2241 5.4440 3.2241 -3.2241 5.4440 3.2241 3.2241 -5.4440" Properties=species:S:1:pos:R:3 pbc="T T T"
Cs 0.0000 0.0000 0.0000
Rb 0.0000 3.2241 2.7220
Ag 3.2241 0.0000 2.7220
Ag 0.0000 0.0000 5.4440
F 1.8484 2.5553 -2.7563
F 2.9138 1.2884 -0.0594
F 1.3757 0.6688 2.6877
F 1.9357 -0.3103 5.5034
F 3.8929 1.8484 2.7563
F 1.2884 3.5344 0.0594
F 0.3103 1.9357 5.3846
F -0.6688 1.3757 8.2003
```

total energy	-43.1	eV per cell
crystal system	tetragonal
total magnetization	0.000	μB per atom
formation energy without anion corrections	-20.62	eV/f.u.

---

Below is a geometry-optimized RbPbO2F structure, with properties calculated at the PBE level.

The structure in extended XYZ format:
```
5
Lattice="4.4266 0.0000 0.0000 0.0000 4.4266 0.0000 0.0000 0.0000 4.6964" Properties=species:S:1:pos:R:3 pbc="T T T"
Rb 0.0000 0.0000 0.0000
Pb 2.2133 2.2133 2.3482
O 0.0000 2.2133 0.0000
O 2.2133 0.0000 0.0000
F 0.0000 0.0000 2.3482
```

total energy	-17.8	eV per cell
crystal system	tetragonal
total magnetization	0.000	μB per atom
formation energy without anion corrections	-1.38	eV/f.u.

---

Below is a geometry-optimized PmErAl structure, with properties calculated at the PBE level.

The structure in extended XYZ format:
```
6
Lattice="5.3028 0.0000 0.0000 -2.6514 4.5924 0.0000 0.0000 0.0000 6.6703" Properties=species:S:1:pos:R:3 pbc="T T T"
Pm 0.0000 0.0000 0.0000
Pm 0.0000 0.0000 3.3351
Er 0.0000 3.0616 1.6676
Er 2.6514 1.5308 5.0027
Al 0.0000 3.0616 5.0027
Al 2.6514 1.5308 1.6676
```

total energy	-27.5	eV per cell
energy of formation	-237	meV per atom
crystal system	hexagonal
total magnetization	0.000	μB per atom
ΔE to the lowest computed polymorph	0	meV/atom

---

Below is a geometry-optimized CaPuBr6 structure, with properties calculated at the PBE level.

The structure in extended XYZ format:
```
8
Lattice="3.5546 2.0523 6.5298 -3.5546 2.0523 6.5298 0.0000 -4.1045 6.5298" Properties=species:S:1:pos:R:3 pbc="T T T"
Ca 0.0000 0.0000 0.0000
Pu 0.0000 0.0000 9.7947
Br -1.1275 -1.9617 8.1876
Br -2.2626 -0.0044 11.4017
Br -1.1351 1.9573 8.1876
Br 1.1351 -1.9573 11.4017
Br 2.2626 0.0044 8.1877
Br 1.1275 1.9617 11.4017
```

total energy	-38.6	eV per cell
crystal system	trigonal
total magnetization	0.500	μB per atom
formation energy without anion corrections	-12.24	eV/f.u.

---

Below is a geometry-optimized NbTc3F structure, with properties calculated at the PBE level.

The structure in extended XYZ format:
```
5
Lattice="4.8777 0.0000 0.0000 0.0000 4.8777 0.0000 0.0000 0.0000 4.8777" Properties=species:S:1:pos:R:3 pbc="T T T"
Nb 0.0000 0.0000 0.0000
Tc 0.0000 0.0000 2.4388
Tc 0.0000 2.4388 0.0000
Tc 2.4388 0.0000 0.0000
F 2.4388 2.4388 2.4388
```

total energy	-33.6	eV per cell
crystal system	cubic
total magnetization	1.461	μB per atom
ΔE to the lowest computed polymorph	1294	meV/atom
formation energy without anion corrections	9.39	eV/f.u.

---

Below is a geometry-optimized Cs2RbTeAu structure, with properties calculated at the PBE level.

The structure in extended XYZ format:
```
5
Lattice="7.2507 0.0000 0.0000 0.0000 7.2507 0.0000 0.0000 0.0000 7.0646" Properties=species:S:1:pos:R:3 pbc="T T T"
Cs 0.0000 3.6253 0.0000
Cs 3.6253 0.0000 0.0000
Rb 0.0000 0.0000 4.1470
Te 0.0000 0.0000 0.6941
Au 3.6253 3.6253 5.6208
```

total energy	-12.0	eV per cell
crystal system	tetragonal
total magnetization	0.000	μB per atom
ΔE to the lowest computed polymorph	0	meV/atom
formation energy without anion corrections	-2.91	eV/f.u.

---

Below is a geometry-optimized Pa2VP structure, with properties calculated at the PBE level.

The structure in extended XYZ format:
```
4
Lattice="4.2456 0.0000 0.0000 0.0000 4.2456 0.0000 0.0000 0.0000 4.1760" Properties=species:S:1:pos:R:3 pbc="T T T"
Pa 0.0000 2.1228 0.0000
Pa 2.1228 0.0000 0.0000
V 0.0000 0.0000 2.0880
P 2.1228 2.1228 2.0880
```

total energy	-34.8	eV per cell
energy of formation	-317	meV per atom
crystal system	tetragonal
total magnetization	0.239	μB per atom
ΔE to the lowest computed polymorph	0	meV/atom

---

Below is a geometry-optimized La2Ni15Pt2 structure, with properties calculated at the PBE level.

The structure in extended XYZ format:
```
19
Lattice="4.2533 2.4556 4.1259 -4.2533 2.4556 4.1259 0.0000 -4.9113 4.1259" Properties=species:S:1:pos:R:3 pbc="T T T"
La 0.0000 0.0000 1.9225
La 0.0000 0.0000 10.4552
Ni -2.1266 -1.2278 4.1259
Ni 0.0000 -2.4665 3.9851
Ni -2.1361 1.2333 3.9851
Ni -1.2369 -2.1424 6.1888
Ni -2.4739 0.0000 6.1888
Ni -2.1361 -1.2333 8.3925
Ni -2.1266 1.2278 8.2518
Ni 1.2369 -2.1424 6.1888
Ni 0.0000 2.4556 4.1259
Ni -1.2369 2.1424 6.1888
Ni 2.1361 1.2333 3.9851
Ni 2.4739 0.0000 6.1888
Ni 1.2369 2.1424 6.1888
Ni 2.1361 -1.2333 8.3926
Ni 0.0000 2.4665 8.3926
Pt 0.0000 0.0000 4.8577
Pt 0.0000 0.0000 7.5200
```

total energy	-112.6	eV per cell
energy of formation	-210	meV per atom
crystal system	trigonal
total magnetization	0.363	μB per atom

---

Below is a geometry-optimized CaPr5Al4 structure, with properties calculated at the PBE level.

The structure in extended XYZ format:
```
10
Lattice="3.7381 0.0000 0.0000 0.0000 3.7381 0.0000 0.0000 0.0000 20.8975" Properties=species:S:1:pos:R:3 pbc="T T T"
Ca 0.0000 0.0000 0.0000
Pr 1.8691 1.8691 2.9186
Pr 1.8691 1.8691 6.6723
Pr 1.8691 1.8691 10.4487
Pr 1.8691 1.8691 14.2252
Pr 1.8691 1.8691 17.9789
Al 0.0000 0.0000 4.7280
Al 0.0000 0.0000 8.5583
Al 0.0000 0.0000 12.3392
Al 0.0000 0.0000 16.1695
```

total energy	-43.4	eV per cell
energy of formation	-252	meV per atom
crystal system	tetragonal
total magnetization	0.000	μB per atom

---

Below is a geometry-optimized Te2AsH2 structure, with properties calculated at the PBE level.

The structure in extended XYZ format:
```
10
Lattice="5.4227 0.0000 0.0000 2.4419 5.2441 0.0000 1.8195 0.4223 9.9929" Properties=species:S:1:pos:R:3 pbc="T T T"
Te 1.8155 1.6503 2.2054
Te 4.0314 1.7913 8.3776
Te 5.6527 3.8750 1.6152
Te 7.8686 4.0161 7.7875
As 2.7158 3.9358 5.1340
As 6.9683 1.7305 4.8589
H 2.8933 0.9836 5.0091
H 4.1679 3.0530 1.7977
H 5.5162 2.6133 8.1952
H 6.7907 4.6828 4.9838
```

total energy	-34.0	eV per cell
crystal system	triclinic
total magnetization	0.000	μB per atom
ΔE to the lowest computed polymorph	0	meV/atom

---

Below is a geometry-optimized AlTeWI2 structure, with properties calculated at the PBE level.

The structure in extended XYZ format:
```
5
Lattice="5.3379 0.0000 0.0000 0.0000 5.3379 0.0000 0.0000 0.0000 5.6470" Properties=species:S:1:pos:R:3 pbc="T T T"
Al 0.0000 0.0000 0.0000
Te 0.0000 0.0000 2.8235
W 2.6689 2.6689 2.8235
I 0.0000 2.6689 0.0000
I 2.6689 0.0000 0.0000
```

total energy	-17.0	eV per cell
crystal system	tetragonal
total magnetization	0.874	μB per atom
ΔE to the lowest computed polymorph	528	meV/atom
formation energy without anion corrections	5.91	eV/f.u.

---

- Look up the total magnetization of the ninth one.
  0.363 μB per atom

---

- Which of these has the highest total energy?
  Cs2RbTeAu

---

- Look up the total magnetization of the sixth one.
  1.461 μB per atom